Record 1
K2PrAl2Sb4 | PBE | optimized geometry

Output
The value obtained for the calculated total energy is -35.44 eV/f.u. As for the space-group type: C2/m, No. 12. The uncorrected formation energy comes out at -0.50 eV/atom.

Lattice parameters (Å, degrees): 4.422 8.493 8.654 107.55 104.80 90.00
Element x y z (fractional)
K1 0.133 0.553 0.265
K2 0.867 0.447 0.735
Sb1 0.516 0.741 0.031
Sb2 0.484 0.259 0.969
Sb3 0.794 0.819 0.588
Sb4 0.206 0.181 0.412
Pr1 0.000 0.000 0.000
Al1 0.669 0.973 0.337
Al2 0.331 0.027 0.663

Record 2
ScCo2GeH | PBE | optimized geometry

Output
Its energy above the most stable polymorph in this dataset is 0 meV/atom. The value obtained for the calculated total energy is -30.74 eV/f.u. As for the space-group type: Cmcm, No. 63.

Lattice parameters (Å, degrees): 3.181 5.528 6.997 90.00 90.00 106.72
Last column: magnetic moment on the atom in μB.
Element x y z (fractional)
Sc1 0.473 0.946 0.750  -0.03
Sc2 0.527 0.054 0.250  -0.03
Ge1 0.253 0.507 0.250  -0.01
Ge2 0.747 0.493 0.750  -0.01
Co1 0.853 0.706 0.450  0.28
Co2 0.853 0.706 0.050  0.28
Co3 0.147 0.294 0.950  0.28
Co4 0.147 0.294 0.550  0.28
H1 0.000 0.000 0.000  0.00
H2 0.000 0.000 0.500  0.00

Record 3
Ba2TeN2 | PBE | optimized geometry

Output
The value obtained for the calculated total energy is -27.26 eV/f.u. As for the space-group type: I4/mmm, No. 139. The uncorrected formation energy comes out at -0.72 eV/atom.

Lattice parameters (Å, degrees): 5.592 5.592 5.885 61.63 61.63 90.00
Last column: magnetic moment on the atom in μB.
Element x y z (fractional)
N1 0.571 0.571 0.859  0.34
N2 0.429 0.429 0.141  0.34
Ba1 0.750 0.250 0.500  0.14
Ba2 0.250 0.750 0.500  0.14
Te1 0.000 0.000 0.000  0.00

Record 4
Ce2ErGa3Pd4 | PBE | optimized geometry

Output
The value obtained for the calculated total energy is -53.70 eV/f.u. As for the space-group type: P-4m2, No. 115.

Lattice parameters (Å, degrees): 4.258 4.258 11.359 90.00 90.00 90.00
Last column: magnetic moment on the atom in μB.
Element x y z (fractional)
Ce1 0.000 0.500 0.769  0.78
Ce2 0.500 0.000 0.231  0.78
Pd1 0.500 0.000 0.657  -0.01
Pd2 0.500 0.500 0.000  0.01
Pd3 0.000 0.500 0.343  -0.01
Pd4 0.000 0.000 0.000  0.01
Ga1 0.500 0.000 0.878  0.00
Ga2 0.000 0.500 0.122  0.00
Ga3 0.000 0.000 0.500  0.00
Er1 0.500 0.500 0.500  0.03

Record 5
Pm3Tm4In4 | PBE | optimized geometry

Output
The value obtained for the calculated total energy is -46.11 eV/f.u. As for the space-group type: Immm, No. 71.

Lattice parameters (Å, degrees): 5.264 7.047 9.772 111.14 105.63 90.00
Element x y z (fractional)
In1 0.500 0.213 0.000
In2 0.821 0.321 0.641
In3 0.500 0.787 0.000
In4 0.179 0.679 0.359
Pm1 0.105 0.105 0.210
Pm2 0.895 0.895 0.790
Pm3 0.000 0.500 0.000
Tm1 0.679 0.912 0.358
Tm2 0.679 0.445 0.358
Tm3 0.321 0.555 0.642
Tm4 0.321 0.088 0.642

Record 6
AgSb2Au6 | PBE | optimized geometry

Output
The value obtained for the calculated total energy is -30.36 eV/f.u. As for the space-group type: C2/m, No. 12. The uncorrected formation energy comes out at 0.04 eV/atom.

Lattice parameters (Å, degrees): 4.975 6.487 6.813 72.83 68.58 67.45
Element x y z (fractional)
Au1 0.474 0.708 0.344
Au2 0.681 0.804 0.834
Au3 0.319 0.196 0.166
Au4 0.526 0.292 0.656
Au5 0.828 0.985 0.358
Au6 0.172 0.015 0.642
Sb1 0.133 0.690 0.044
Sb2 0.867 0.310 0.956
Ag1 0.000 0.500 0.500

Record 7
PaTi2NiN4 | PBE | optimized geometry

Output
The value obtained for the calculated total energy is -74.70 eV/f.u. As for the space-group type: Cmcm, No. 63. The uncorrected formation energy comes out at -1.29 eV/atom.

Lattice parameters (Å, degrees): 3.165 5.445 10.536 90.00 90.00 106.90
Element x y z (fractional)
N1 0.000 0.000 0.000
N2 0.724 0.447 0.613
N3 0.276 0.553 0.113
N4 0.546 0.092 0.250
N5 0.000 0.000 0.500
N6 0.276 0.553 0.387
N7 0.724 0.447 0.887
N8 0.454 0.908 0.750
Ni1 0.843 0.685 0.750
Ni2 0.157 0.315 0.250
Ti1 0.629 0.258 0.450
Ti2 0.371 0.742 0.550
Ti3 0.371 0.742 0.950
Ti4 0.629 0.258 0.050
Pa1 0.110 0.221 0.750
Pa2 0.890 0.779 0.250

Record 8
YZrMo | PBE | optimized geometry

Output
Its energy above the most stable polymorph in this dataset is 264 meV/atom. The value obtained for the calculated total energy is -24.67 eV/f.u. As for the space-group type: Imm2, No. 44.

Lattice parameters (Å, degrees): 5.146 5.146 5.146 145.25 120.56 70.73
Element x y z (fractional)
Zr1 0.674 0.674 0.000
Mo1 0.995 0.995 0.000
Y1 0.331 0.331 0.000